1.
Entry from Alexandria: an optimized crystal structure of RbNb2Re (GGA-PBE).

Energy relative to the lowest polymorph listed for this composition, meV per atom: 321
Crystal system: tetragonal
Magnetic moment, μB/f.u.: 0.00
Space group: I4_1/amd (141)
Volume, Å³ per atom: 31.97
Mass density, Mg/m³: 5.94
Energy, eV/cell: -53.09

Cell: 5.4939 5.4939 9.3209 Å, 72.86 72.86 90.00°
Last column: nearest neighbours and their distance in Å.
Fractional positions:
Re: 0.0000 0.0000 0.0000  4 Nb 2.52
Re: 0.7500 0.2500 0.5000  4 Nb 2.52
Nb: 0.8749 0.1250 0.2500  2 Re 2.52, 2 Nb 2.75
Nb: 0.8751 0.6250 0.2500  2 Re 2.52, 2 Nb 2.75
Nb: 0.3750 0.1251 0.7500  2 Re 2.52, 2 Nb 2.75
Nb: 0.8750 0.1249 0.7500  2 Re 2.52, 2 Nb 2.75
Rb: 0.5000 0.5000 0.0000  8 Nb 3.73, 4 Re 3.88
Rb: 0.2500 0.7500 0.5000  8 Nb 3.73, 4 Re 3.88

=====

2.
Entry from Alexandria: an optimized crystal structure of K2YAs2 (GGA-PBE).

Energy relative to the lowest polymorph listed for this composition, meV per atom: 205
Crystal system: tetragonal
Magnetic moment, μB/f.u.: 0.91
Space group: I4/mmm (139)
Volume, Å³ per atom: 27.33
Mass density, Mg/m³: 3.85
Energy, eV/cell: -19.47

Cell: 7.8653 7.8653 7.8653 Å, 147.94 147.94 45.98°
Last column: nearest neighbours and their distance in Å.
Fractional positions:
K: 0.2500 0.7500 0.5000  4 K 3.07, 4 As 3.23
K: 0.7500 0.2500 0.5000  4 K 3.07, 4 As 3.23
Y: 0.0000 0.0000 0.0000  8 As 3.31
As: 0.5847 0.5847 0.0000  1 As 2.45
As: 0.4153 0.4153 0.0000  1 As 2.45

=====

3.
Entry from Alexandria: an optimized crystal structure of PrTm2AlPd4 (GGA-PBE).

Crystal system: trigonal
Magnetic moment, μB/f.u.: 0.00
Space group: R-3m (166)
Volume, Å³ per atom: 20.47
Mass density, Mg/m³: 9.44
Energy, eV/cell: -44.92

Cell: 4.7638 4.7638 8.7750 Å, 74.25 74.25 60.00°
Last column: nearest neighbours and their distance in Å.
Fractional positions:
Pr: 0.0000 0.0000 0.0000  8 Pd 3.17-3.25
Tm: 0.7588 0.7588 0.7236  7 Pd 2.78-2.91
Tm: 0.2412 0.2412 0.2764  7 Pd 2.78-2.91
Al: 0.5000 0.5000 0.5000  8 Pd 2.60-2.90
Pd: 0.3962 0.3962 0.8115  1 Al 2.60, 3 Tm 2.85
Pd: 0.8700 0.8700 0.3900  4 Tm 2.78-2.91, 3 Al 2.90
Pd: 0.1300 0.1300 0.6100  4 Tm 2.78-2.91, 3 Al 2.90
Pd: 0.6038 0.6038 0.1885  1 Al 2.60, 3 Tm 2.85

=====

4.
Entry from Alexandria: an optimized crystal structure of Pr2Zn3NiPt4 (GGA-PBE).

Crystal system: tetragonal
Magnetic moment, μB/f.u.: 0.00
Space group: P-4m2 (115)
Volume, Å³ per atom: 18.90
Mass density, Mg/m³: 11.57
Energy, eV/cell: -50.39

Cell: 4.1297 4.1297 11.0802 Å, 90.00 90.00 90.00°
Last column: nearest neighbours and their distance in Å.
Fractional positions:
Pr: 0.5000 0.0000 0.2541  8 Pt 3.15-3.49, 6 Zn 3.20-3.42, 2 Ni 3.42
Pr: 0.0000 0.5000 0.7459  8 Pt 3.15-3.49, 6 Zn 3.20-3.42, 2 Ni 3.42
Zn: 0.0000 0.0000 0.5000  4 Pt 2.58
Zn: 0.5000 0.0000 0.8646  5 Pt 2.50-2.55
Zn: 0.0000 0.5000 0.1354  5 Pt 2.50-2.55
Ni: 0.5000 0.5000 0.5000  4 Pt 2.58
Pt: 0.5000 0.5000 0.0000  4 Zn 2.55
Pt: 0.0000 0.0000 0.0000  4 Zn 2.55
Pt: 0.5000 0.0000 0.6391  3 Zn 2.50-2.58, 2 Ni 2.58
Pt: 0.0000 0.5000 0.3609  3 Zn 2.50-2.58, 2 Ni 2.58

=====

5.
Entry from Alexandria: an optimized crystal structure of AcTb6Sm2Y (GGA-PBE).

Crystal system: monoclinic
Magnetic moment, μB/f.u.: 0.00
Space group: C2/c (15)
Volume, Å³ per atom: 34.14
Mass density, Mg/m³: 7.64
Energy, eV/cell: -93.13

Cell: 9.6646 8.9856 8.9856 Å, 118.41 92.99 92.99°
Last column: nearest neighbours and their distance in Å.
Fractional positions:
Ac: 0.2500 0.9741 0.0259  4 Sm 3.47-3.56, 4 Tb 3.70-3.86
Ac: 0.7500 0.0259 0.9741  4 Sm 3.47-3.56, 4 Tb 3.70-3.86
Tb: 0.0573 0.1312 0.7465  7 Tb 3.45-3.78, 1 Sm 3.60, 1 Y 3.86, 1 Ac 3.86
Tb: 0.4427 0.2535 0.8688  7 Tb 3.45-3.78, 1 Sm 3.60, 1 Y 3.86, 1 Ac 3.86
Tb: 0.9427 0.8688 0.2535  7 Tb 3.45-3.78, 1 Sm 3.60, 1 Y 3.86, 1 Ac 3.86
Tb: 0.5573 0.7465 0.1312  7 Tb 3.45-3.78, 1 Sm 3.60, 1 Y 3.86, 1 Ac 3.86
Tb: 0.3165 0.9804 0.4385  5 Tb 3.26-3.64, 2 Sm 3.45-3.55, 1 Y 3.54
Tb: 0.1835 0.5615 0.0196  5 Tb 3.26-3.64, 2 Sm 3.45-3.55, 1 Y 3.54
Tb: 0.6835 0.0196 0.5615  5 Tb 3.26-3.64, 2 Sm 3.45-3.55, 1 Y 3.54
Tb: 0.8165 0.4385 0.9804  5 Tb 3.26-3.64, 2 Sm 3.45-3.55, 1 Y 3.54
Tb: 0.1176 0.7115 0.4957  4 Tb 3.26-3.52, 3 Sm 3.29-3.46, 2 Y 3.48-3.59
Tb: 0.3824 0.5043 0.2885  4 Tb 3.26-3.52, 3 Sm 3.29-3.46, 2 Y 3.48-3.59
Tb: 0.8824 0.2885 0.5043  4 Tb 3.26-3.52, 3 Sm 3.29-3.46, 2 Y 3.48-3.59
Tb: 0.6176 0.4957 0.7115  4 Tb 3.26-3.52, 3 Sm 3.29-3.46, 2 Y 3.48-3.59
Sm: 0.4536 0.8010 0.6854  6 Tb 3.29-3.60, 2 Ac 3.47-3.56, 1 Y 3.63
Sm: 0.0464 0.3146 0.1990  6 Tb 3.29-3.60, 2 Ac 3.47-3.56, 1 Y 3.63
Sm: 0.5464 0.1990 0.3146  6 Tb 3.29-3.60, 2 Ac 3.47-3.56, 1 Y 3.63
Sm: 0.9536 0.6854 0.8010  6 Tb 3.29-3.60, 2 Ac 3.47-3.56, 1 Y 3.63
Y: 0.2500 0.4104 0.5896  8 Tb 3.48-3.86, 4 Sm 3.63-3.84
Y: 0.7500 0.5896 0.4104  8 Tb 3.48-3.86, 4 Sm 3.63-3.84

=====

6.
Entry from Alexandria: an optimized crystal structure of HoErMgRu (GGA-PBE).

Energy relative to the lowest polymorph listed for this composition, meV per atom: 0
Crystal system: tetragonal
Magnetic moment, μB/f.u.: 0.00
Space group: P4mm (99)
Volume, Å³ per atom: 23.55
Mass density, Mg/m³: 8.07
Energy, eV/cell: -21.29

Cell: 3.4214 3.4214 8.0462 Å, 90.00 90.00 90.00°
Last column: nearest neighbours and their distance in Å.
Fractional positions:
Ho: 0.5000 0.5000 0.7741  4 Ru 2.93, 1 Er 3.27
Er: 0.5000 0.5000 0.3680  4 Ru 2.91
Mg: 0.0000 0.0000 0.0729  4 Er 3.39, 4 Ho 3.41, 4 Mg 3.42
Ru: 0.0000 0.0000 0.5697  4 Er 2.91, 4 Ho 2.93

=====

7.
Entry from Alexandria: an optimized crystal structure of MgInNi3 (GGA-PBE).

Energy relative to the lowest polymorph listed for this composition, meV per atom: 0
Crystal system: orthorhombic
Magnetic moment, μB/f.u.: 0.64
Space group: Cmcm (63)
Volume, Å³ per atom: 16.41
Mass density, Mg/m³: 6.38
Energy, eV/cell: -42.66

Cell: 4.5419 7.9814 7.9814 Å, 145.44 90.00 90.00°
Last column: nearest neighbours and their distance in Å.
Fractional positions:
Mg: 0.7500 0.5513 0.4487  10 Ni 2.74-2.81, 1 In 2.75, 2 Mg 2.76
Mg: 0.2500 0.4487 0.5513  10 Ni 2.74-2.81, 1 In 2.75, 2 Mg 2.76
In: 0.7500 0.7319 0.2681  2 Ni 2.61, 1 Mg 2.75
In: 0.2500 0.2681 0.7319  2 Ni 2.61, 1 Mg 2.75
Ni: 0.7500 0.6259 0.8596  4 Ni 2.30-2.44
Ni: 0.7500 0.1404 0.3741  4 Ni 2.30-2.44
Ni: 0.2500 0.8596 0.6259  4 Ni 2.30-2.44
Ni: 0.2500 0.3741 0.1404  4 Ni 2.30-2.44
Ni: 0.0000 0.0000 0.0000  6 Ni 2.27-2.44
Ni: 0.5000 0.0000 0.0000  6 Ni 2.27-2.44

=====

8.
Entry from Alexandria: an optimized crystal structure of CeY2ReC4 (GGA-PBE).

Crystal system: orthorhombic
Magnetic moment, μB/f.u.: 0.88
Space group: Cmcm (63)
Volume, Å³ per atom: 16.34
Mass density, Mg/m³: 7.01
Energy, eV/cell: -137.56

Cell: 3.5239 6.3114 12.2447 Å, 90.00 90.00 106.21°
Last column: nearest neighbours and their distance in Å.
Fractional positions:
Ce: 0.0939 0.1878 0.7500  6 C 2.76-2.85
Ce: 0.9061 0.8122 0.2500  6 C 2.76-2.85
Y: 0.3711 0.7422 0.5396  6 C 2.40-2.67
Y: 0.6289 0.2578 0.0396  6 C 2.40-2.67
Y: 0.6289 0.2578 0.4604  6 C 2.40-2.67
Y: 0.3711 0.7422 0.9604  6 C 2.40-2.67
Re: 0.8319 0.6638 0.7500  4 C 1.88-2.05
Re: 0.1681 0.3362 0.2500  4 C 1.88-2.05
C: 0.2660 0.5321 0.1308  1 Re 1.88
C: 0.7340 0.4679 0.6308  1 Re 1.88
C: 0.7340 0.4679 0.8692  1 Re 1.88
C: 0.2660 0.5321 0.3692  1 Re 1.88
C: 0.0000 0.0000 0.5000  4 Y 2.40
C: 0.0000 0.0000 0.0000  4 Y 2.40
C: 0.4188 0.8377 0.7500  2 Re 2.05
C: 0.5812 0.1623 0.2500  2 Re 2.05